A relaxed K3FeMo2O8 crystal. Source: Alexandria via LeMat-Bulk, functional GGA+U. Values from VASP.

Calculated values
E, eV per atom: -6.130
Magnetic moment, μB per cell: 3.00
DOS at the Fermi energy, states/eV/cell: 1.2
Symmetry: P-3m1 (164)

```
&SYSTEM
  ibrav = 0, nat = 14, ntyp = 4
/
ATOMIC_SPECIES
K 39.10 K.upf
Fe 55.84 Fe.upf
Mo 95.94 Mo.upf
O 16.00 O.upf
CELL_PARAMETERS angstrom
5.9341 0.0000 0.0000
-2.9671 5.1391 0.0000
0.0000 0.0000 7.6414
ATOMIC_POSITIONS crystal
K 0.0000 0.0000 0.0000
K 0.3333 0.6667 0.6617
K 0.6667 0.3333 0.3383
Fe 0.0000 0.0000 0.5000
Mo 0.3333 0.6667 0.2331
Mo 0.6667 0.3333 0.7669
O 0.1686 0.3372 0.3250
O 0.1686 0.8314 0.3250
O 0.3333 0.6667 0.9990
O 0.3372 0.1686 0.6750
O 0.6628 0.8314 0.3250
O 0.6667 0.3333 0.0010
O 0.8314 0.1686 0.6750
O 0.8314 0.6628 0.6750
```